No. 1
First-principles (PBE) data for a relaxed structure of TlHgOs2, as listed in Alexandria via LeMat-Bulk.

Values from the calculation:
polymorph energy (0 for the lowest one): 98.11 kJ/mol of atoms
electronic total energy: -4.747 eV/atom
ΔE_f: 6.14 eV/f.u.
DOS(E_F): 9.0 states/eV/cell
V: 19.64 Å³ per atom

Cell: 6.0393 6.0393 6.0393 Å, 101.39 101.39 127.23°
With the nearest neighbours (Å) after each atom.
Positions (direct):
Tl: 0.0000 0.0000 0.0000  2 Hg 2.68, 4 Os 2.78
Tl: 0.7500 0.2500 0.5000  2 Hg 2.68, 4 Os 2.78
Hg: 0.2500 0.7500 0.5000  2 Tl 2.68, 4 Os 2.79
Hg: 0.5000 0.5000 0.0000  2 Tl 2.68, 4 Os 2.79
Os: 0.1241 0.6250 0.9991  2 Os 2.68, 2 Tl 2.78, 2 Hg 2.79
Os: 0.3750 0.3741 0.4991  2 Os 2.68, 2 Tl 2.78, 2 Hg 2.79
Os: 0.6259 0.1250 0.0009  2 Os 2.68, 2 Tl 2.78, 2 Hg 2.79
Os: 0.8750 0.8759 0.5009  2 Os 2.68, 2 Tl 2.78, 2 Hg 2.79



No. 2
First-principles (PBE) data for a relaxed structure of TlHgOs2, as listed in Alexandria via LeMat-Bulk.

Values from the calculation:
polymorph energy (0 for the lowest one): 57.10 kJ/mol of atoms
electronic total energy: -5.172 eV/atom
ΔE_f: 4.44 eV/f.u.
DOS(E_F): 4.5 states/eV/cell
V: 17.76 Å³ per atom

Cell: 9.3252 9.3252 9.3252 Å, 18.46 18.46 18.46°
With the nearest neighbours (Å) after each atom.
Positions (direct):
Tl: 0.0000 0.0000 0.0000  6 Os 2.86, 6 Tl 2.99
Hg: 0.5000 0.5000 0.5000  6 Os 2.88, 6 Hg 2.99
Os: 0.2503 0.2503 0.2503  3 Tl 2.86, 3 Hg 2.88, 6 Os 2.99
Os: 0.7497 0.7497 0.7497  3 Tl 2.86, 3 Hg 2.88, 6 Os 2.99



No. 3
First-principles (PBE) data for a relaxed structure of TlHg2Os, as listed in Alexandria via LeMat-Bulk.

Values from the calculation:
polymorph energy (0 for the lowest one): 24.17 kJ/mol of atoms
electronic total energy: -2.695 eV/atom
ΔE_f: 3.42 eV/f.u.
DOS(E_F): 3.1 states/eV/cell
V: 20.57 Å³ per atom

Cell: 5.1089 5.1089 3.3876 Å, 90.11 90.11 111.46°
With the nearest neighbours (Å) after each atom.
Positions (direct):
Tl: 0.0000 0.0000 0.0000  2 Os 2.88, 8 Hg 3.06-3.07
Hg: 0.0000 0.5000 0.5000  2 Hg 2.88, 4 Tl 3.06-3.07, 4 Os 3.06-3.07
Hg: 0.5000 0.0000 0.5000  2 Hg 2.88, 4 Tl 3.06-3.07, 4 Os 3.06-3.07
Os: 0.5000 0.5000 0.0000  2 Tl 2.88, 8 Hg 3.06-3.07



No. 4
First-principles (PBE) data for a relaxed structure of TlHg2Os, as listed in Alexandria via LeMat-Bulk.

Values from the calculation:
polymorph energy (0 for the lowest one): 13.25 kJ/mol of atoms
electronic total energy: -2.808 eV/atom
ΔE_f: 2.97 eV/f.u.
DOS(E_F): 3.3 states/eV/cell
V: 22.68 Å³ per atom

Cell: 2.9864 2.9864 11.7470 Å, 90.00 90.00 120.03°
With the nearest neighbours (Å) after each atom.
Positions (direct):
Tl: 0.0000 0.0000 0.0000  2 Os 2.95, 6 Tl 2.99
Hg: 0.0000 0.0000 0.4288  2 Os 2.90, 6 Hg 2.99
Hg: 0.5000 0.5000 0.6931  6 Hg 2.99
Os: 0.5000 0.5000 0.2167  2 Hg 2.90, 2 Tl 2.95, 6 Os 2.99



No. 5
First-principles (PBE) data for a relaxed structure of TlHgOs, as listed in Alexandria via LeMat-Bulk.

Values from the calculation:
polymorph energy (0 for the lowest one): 5.36 kJ/mol of atoms
electronic total energy: -3.622 eV/atom
ΔE_f: 3.03 eV/f.u.
DOS(E_F): 2.7 states/eV/cell
V: 21.20 Å³ per atom

Cell: 7.4173 7.4173 7.4173 Å, 156.74 156.74 33.13°
With the nearest neighbours (Å) after each atom.
Positions (direct):
Tl: 0.0000 0.0000 0.0000  4 Tl 2.99, 4 Os 3.03
Hg: 0.7065 0.7065 0.0000  4 Os 2.92, 4 Hg 2.99
Os: 0.3478 0.3478 0.0000  4 Hg 2.92, 4 Os 2.99, 4 Tl 3.03



No. 6
First-principles (PBE) data for a relaxed structure of TlHg2Os, as listed in Alexandria via LeMat-Bulk.

Values from the calculation:
polymorph energy (0 for the lowest one): 30.66 kJ/mol of atoms
electronic total energy: -2.627 eV/atom
ΔE_f: 3.69 eV/f.u.
DOS(E_F): 5.2 states/eV/cell
V: 22.21 Å³ per atom

Cell: 10.8313 10.8313 10.8313 Å, 158.03 158.03 31.26°
With the nearest neighbours (Å) after each atom.
Positions (direct):
Tl: 0.0000 0.0000 0.0000  4 Os 2.92, 4 Hg 3.02
Tl: 0.7500 0.2500 0.5000  4 Os 2.92, 4 Hg 3.02
Hg: 0.1481 0.6250 0.0231  4 Hg 2.79-3.06, 2 Os 2.96, 2 Tl 3.02
Hg: 0.3750 0.3981 0.5231  4 Hg 2.79-3.06, 2 Os 2.96, 2 Tl 3.02
Hg: 0.6019 0.1250 0.9769  4 Hg 2.79-3.06, 2 Os 2.96, 2 Tl 3.02
Hg: 0.8750 0.8519 0.4769  4 Hg 2.79-3.06, 2 Os 2.96, 2 Tl 3.02
Os: 0.2500 0.7500 0.5000  4 Tl 2.92, 4 Hg 2.96
Os: 0.5000 0.5000 0.0000  4 Tl 2.92, 4 Hg 2.96



No. 7
First-principles (PBE) data for a relaxed structure of TlHg2Os, as listed in Alexandria via LeMat-Bulk.

Values from the calculation:
polymorph energy (0 for the lowest one): 23.01 kJ/mol of atoms
electronic total energy: -2.707 eV/atom
ΔE_f: 3.37 eV/f.u.
DOS(E_F): 3.0 states/eV/cell
V: 20.72 Å³ per atom

Cell: 3.6602 3.6736 6.1644 Å, 90.00 90.00 90.00°
With the nearest neighbours (Å) after each atom.
Positions (direct):
Tl: 0.0000 0.0000 0.0000  5 Hg 2.87-3.13, 4 Os 2.94
Hg: 0.0000 0.0000 0.5347  1 Tl 2.87, 4 Os 2.99, 4 Hg 3.01
Hg: 0.5000 0.5000 0.2857  4 Hg 3.01, 2 Os 3.02-3.15, 4 Tl 3.13
Os: 0.5000 0.5000 0.7754  4 Tl 2.94, 6 Hg 2.99-3.15



No. 8
First-principles (PBE) data for a relaxed structure of TlHg2Os, as listed in Alexandria via LeMat-Bulk.

Values from the calculation:
polymorph energy (0 for the lowest one): 23.06 kJ/mol of atoms
electronic total energy: -2.706 eV/atom
ΔE_f: 3.38 eV/f.u.
DOS(E_F): 2.3 states/eV/cell
V: 20.32 Å³ per atom

Cell: 5.6490 5.6490 5.6490 Å, 137.52 137.52 61.64°
With the nearest neighbours (Å) after each atom.
Positions (direct):
Tl: 0.0000 0.0000 0.0000  4 Os 2.89, 8 Hg 3.17
Hg: 0.2500 0.7500 0.5000  4 Hg 2.89, 4 Os 3.17, 4 Tl 3.17
Hg: 0.7500 0.2500 0.5000  4 Hg 2.89, 4 Os 3.17, 4 Tl 3.17
Os: 0.5000 0.5000 0.0000  4 Tl 2.89, 8 Hg 3.17



- Among the records above, which one has the lowest V?
  number 2



- Look up the electronic total energy of the first one.
  -4.747 eV/atom



- Which formula does entry 5 have?
  TlHgOs